Ce5Mg4Hg4 after structural relaxation. Source: Alexandria, functional PBE.

Cell: 8.8958 8.8958 8.8958 Å, 94.04 94.04 149.21°
With the nearest neighbours (Å) after each atom.
Sites, in units of the cell vectors:
Ce  0.0000  0.0000  0.0000  4 Hg 3.22
Ce  0.3043  0.3778  0.6821  5 Hg 3.22-3.38, 4 Mg 3.48-3.60
Ce  0.3778  0.6957  0.0734  5 Hg 3.22-3.38, 4 Mg 3.48-3.60
Ce  0.6222  0.3043  0.9266  5 Hg 3.22-3.38, 4 Mg 3.48-3.60
Ce  0.6957  0.6222  0.3179  5 Hg 3.22-3.38, 4 Mg 3.48-3.60
Mg  0.1031  0.5823  0.6854  3 Hg 2.85-2.92
Mg  0.4177  0.1031  0.5207  3 Hg 2.85-2.92
Mg  0.5823  0.8969  0.4793  3 Hg 2.85-2.92
Mg  0.8969  0.4177  0.3146  3 Hg 2.85-2.92
Hg  0.0678  0.2566  0.3244  3 Mg 2.85-2.92
Hg  0.2566  0.9322  0.1888  3 Mg 2.85-2.92
Hg  0.7434  0.0678  0.8112  3 Mg 2.85-2.92
Hg  0.9322  0.7434  0.6756  3 Mg 2.85-2.92

## Properties
Energy of formation in eV/f.u.: -2.54
Symmetry: No. 87
Magnetic moment in μB per cell: 5.63
Crystal system: tetragonal


Ce2Mg3Hg4 after structural relaxation. Source: Alexandria, functional PBE.

Cell: 8.8655 8.8655 8.5061 Å, 90.00 90.00 138.10°
With the nearest neighbours (Å) after each atom.
Sites, in units of the cell vectors:
Ce  0.1075  0.8925  0.9102  8 Hg 3.35-3.68, 4 Mg 3.51-3.71
Ce  0.3925  0.6075  0.4102  8 Hg 3.35-3.68, 4 Mg 3.51-3.71
Ce  0.6075  0.3925  0.5898  8 Hg 3.35-3.68, 4 Mg 3.51-3.71
Ce  0.8925  0.1075  0.0898  8 Hg 3.35-3.68, 4 Mg 3.51-3.71
Mg  0.0000  0.0000  0.5000  6 Hg 2.78-2.99
Mg  0.0280  0.4720  0.7500  5 Hg 2.84-2.99, 2 Mg 3.17
Mg  0.4720  0.0280  0.2500  5 Hg 2.84-2.99, 2 Mg 3.17
Mg  0.5000  0.5000  0.0000  6 Hg 2.78-2.99
Mg  0.5280  0.9720  0.7500  5 Hg 2.84-2.99, 2 Mg 3.17
Mg  0.9720  0.5280  0.2500  5 Hg 2.84-2.99, 2 Mg 3.17
Hg  0.1798  0.8202  0.5358  5 Mg 2.91-2.99
Hg  0.1993  0.3007  0.7500  3 Mg 2.78-2.84
Hg  0.3007  0.1993  0.2500  3 Mg 2.78-2.84
Hg  0.3202  0.6798  0.0358  5 Mg 2.91-2.99
Hg  0.6798  0.3202  0.9642  5 Mg 2.91-2.99
Hg  0.6993  0.8007  0.7500  3 Mg 2.78-2.84
Hg  0.8007  0.6993  0.2500  3 Mg 2.78-2.84
Hg  0.8202  0.1798  0.4642  5 Mg 2.91-2.99

## Properties
Energy of formation in eV/f.u.: -2.29
Symmetry: No. 64
Energy relative to the lowest polymorph listed for this composition in meV per atom: 39
Magnetic moment in μB per cell: 5.74
Crystal system: orthorhombic


Ce4MgHg5 after structural relaxation. Source: Alexandria, functional PBE.

Cell: 3.4533 3.4533 21.4593 Å, 90.00 90.00 90.00°
With the nearest neighbours (Å) after each atom.
Sites, in units of the cell vectors:
Ce  0.0000  0.0000  0.1047  8 Hg 3.32, 4 Ce 3.45
Ce  0.0000  0.0000  0.3143  8 Hg 3.30-3.32, 4 Ce 3.45
Ce  0.0000  0.0000  0.6857  8 Hg 3.30-3.32, 4 Ce 3.45
Ce  0.0000  0.0000  0.8953  8 Hg 3.32, 4 Ce 3.45
Mg  0.0000  0.0000  0.5000  8 Hg 3.01
Hg  0.5000  0.5000  0.0000  8 Ce 3.32, 4 Hg 3.45
Hg  0.5000  0.5000  0.2098  8 Ce 3.32, 4 Hg 3.45
Hg  0.5000  0.5000  0.4176  4 Mg 3.01, 4 Ce 3.30
Hg  0.5000  0.5000  0.5824  4 Mg 3.01, 4 Ce 3.30
Hg  0.5000  0.5000  0.7902  8 Ce 3.32, 4 Hg 3.45

## Properties
Energy of formation in eV/f.u.: -3.03
Symmetry: No. 123
Magnetic moment in μB per cell: 0.22
Crystal system: tetragonal


CeMg4Hg2 after structural relaxation. Source: Alexandria, functional PBE.

Cell: 5.0154 19.3277 3.4062 Å, 90.00 90.00 90.00°
With the nearest neighbours (Å) after each atom.
Sites, in units of the cell vectors:
Ce  0.0000  0.0000  0.0000  8 Hg 3.39, 2 Ce 3.41, 4 Mg 3.53
Ce  0.5000  0.5000  0.0000  8 Hg 3.39, 2 Ce 3.41, 4 Mg 3.53
Mg  0.0000  0.1598  0.5000  2 Hg 2.96, 6 Mg 3.14-3.17
Mg  0.0000  0.2980  0.0000  2 Hg 2.93, 8 Mg 3.12-3.17
Mg  0.0000  0.7020  0.0000  2 Hg 2.93, 8 Mg 3.12-3.17
Mg  0.0000  0.8402  0.5000  2 Hg 2.96, 6 Mg 3.14-3.17
Mg  0.5000  0.2020  0.0000  2 Hg 2.93, 8 Mg 3.12-3.17
Mg  0.5000  0.3402  0.5000  2 Hg 2.96, 6 Mg 3.14-3.17
Mg  0.5000  0.6598  0.5000  2 Hg 2.96, 6 Mg 3.14-3.17
Mg  0.5000  0.7980  0.0000  2 Hg 2.93, 8 Mg 3.12-3.17
Hg  0.0000  0.4217  0.5000  4 Mg 2.93-2.96, 1 Hg 3.03
Hg  0.0000  0.5783  0.5000  4 Mg 2.93-2.96, 1 Hg 3.03
Hg  0.5000  0.0783  0.5000  4 Mg 2.93-2.96, 1 Hg 3.03
Hg  0.5000  0.9217  0.5000  4 Mg 2.93-2.96, 1 Hg 3.03

## Properties
Energy of formation in eV/f.u.: -1.29
Symmetry: No. 65
Energy relative to the lowest polymorph listed for this composition in meV per atom: 23
Magnetic moment in μB per cell: 2.39
Crystal system: orthorhombic


- Among the records above, which one has the highest energy of formation?
  CeMg4Hg2